Below is crystalline MnNb2ZnO8 at its relaxed geometry, with properties calculated at the GGA+U level.

The structure in extended XYZ format:
```
24
Lattice="9.891 -2.875 0.000 9.891 2.875 0.000 -0.692 0.000 5.032" Properties=species:S:1:pos:R:3 pbc="T T T"
Mn 0.000 0.000 0.000
Mn 9.545 -1.178 2.516
Nb 7.199 1.904 2.332
Nb 11.890 1.904 2.700
Nb 6.903 -0.192 4.800
Nb 12.187 -0.192 0.232
Zn 4.494 -0.060 0.598
Zn 14.595 -0.060 4.434
O 0.559 0.245 3.544
O 6.474 1.429 0.551
O 3.345 0.115 2.160
O 8.153 1.591 4.135
O 10.937 1.591 0.897
O 6.257 0.294 3.081
O 12.615 1.429 4.481
O 8.513 0.102 1.568
O 6.083 -1.231 0.262
O 10.576 0.102 3.464
O 12.832 0.294 1.951
O 8.295 -1.417 4.013
O 15.745 0.115 2.872
O 10.794 -1.417 1.019
O 18.530 0.245 1.488
O 13.006 -1.231 4.770
```

Space-group type   C2, No. 5
VASP energy   -7.701 eV per atom
Calculated density   5.038 g cm⁻³